Density functional theory data (PBE) for a relaxed TbGdAl2 crystal.

Properties
- energy (eV/atom) = -6.948
- calculated formation energy (eV/f.u.) = -1.60
- space-group type = No. 123
- total moment (Bohr magnetons per cell) = 7.0
- distance to the lowest polymorph of the same formula (meV/atom) = 0.0
- DOS at the Fermi energy (states/eV per atom) = 0.408

Geometry as extended XYZ:
```
4
Lattice="3.6168 0.0000 0.0000 0.0000 3.6168 0.0000 0.0000 0.0000 7.2761" Properties=species:S:1:pos:R:3 pbc="T T T"
Gd 1.8084 1.8084 0.0000
Tb 1.8084 1.8084 3.6380
Al 0.0000 0.0000 5.4351
Al 0.0000 0.0000 1.8410
```